[1]
Computed, not measured: a relaxed structure of Ho2HSe3 at the PBE-GGA level of DFT.

Geometry as CIF:
```
data_Ho2HSe3
_cell_length_a 10.779
_cell_length_b 3.869
_cell_length_c 11.740
_cell_angle_alpha 90.00
_cell_angle_beta 90.00
_cell_angle_gamma 90.00
_space_group_name_H-M_alt 'P n m a'
_space_group_IT_number 62
loop_
_space_group_symop_operation_xyz
'x,y,z'
'-x,-y,-z'
'-x+1/2,-y,z+1/2'
'x+1/2,y,-z+1/2'
'x+1/2,-y+1/2,-z+1/2'
'-x+1/2,y+1/2,z+1/2'
'-x,y+1/2,-z'
'x,-y+1/2,z'
loop_
_atom_site_label
_atom_site_fract_x
_atom_site_fract_y
_atom_site_fract_z
Ho1 0.050 0.250 0.175
Ho2 0.197 0.250 0.516
H1 0.135 0.750 0.123
Se1 0.066 0.750 0.373
Se2 0.120 0.250 0.935
Se3 0.182 0.750 0.694
```

Properties
The calculation puts the uncorrected energy at -5.200 eV per atom.

---

[2]
Computed, not measured: a relaxed structure of Ho2HSe2 at the PBE-GGA level of DFT.

Geometry as CIF:
```
data_Ho2HSe2
_cell_length_a 3.750
_cell_length_b 10.079
_cell_length_c 10.800
_cell_angle_alpha 90.00
_cell_angle_beta 90.00
_cell_angle_gamma 90.00
_space_group_name_H-M_alt 'C m c 21'
_space_group_IT_number 36
loop_
_space_group_symop_operation_xyz
'x,y,z'
'-x,-y,z+1/2'
'-x,y,z'
'x,-y,z+1/2'
'x+1/2,y+1/2,z'
'-x+1/2,-y+1/2,z+1/2'
'-x+1/2,y+1/2,z'
'x+1/2,-y+1/2,z+1/2'
loop_
_atom_site_label
_atom_site_fract_x
_atom_site_fract_y
_atom_site_fract_z
Ho1 0.000 0.044 0.000
Ho2 0.000 0.234 0.253
H1 0.000 0.359 0.617
Se1 0.000 0.057 0.742
Se2 0.000 0.326 0.956
```

Properties
The calculation puts the uncorrected energy at -5.251 eV per atom.

---

[3]
Computed, not measured: a relaxed structure of HoHSe at the PBE-GGA level of DFT.

Geometry as CIF:
```
data_HoHSe
_cell_length_a 3.841
_cell_length_b 3.841
_cell_length_c 6.745
_cell_angle_alpha 90.00
_cell_angle_beta 90.00
_cell_angle_gamma 90.00
_space_group_name_H-M_alt 'P 4/n m m'
_space_group_IT_number 129
loop_
_space_group_symop_operation_xyz
'x,y,z'
'-x,-y,-z'
'-y+1/2,x,z'
'y+1/2,-x,-z'
'-x+1/2,-y+1/2,z'
'x+1/2,y+1/2,-z'
'y,-x+1/2,z'
'-y,x+1/2,-z'
'x+1/2,-y,-z'
'-x+1/2,y,z'
'-y,-x,-z'
'y,x,z'
'-x,y+1/2,-z'
'x,-y+1/2,z'
'y+1/2,x+1/2,-z'
'-y+1/2,-x+1/2,z'
loop_
_atom_site_label
_atom_site_fract_x
_atom_site_fract_y
_atom_site_fract_z
Ho1 0.250 0.250 0.198
H1 0.250 0.750 0.000
Se1 0.250 0.250 0.655
```

Properties
The calculation puts the uncorrected energy at -5.150 eV per atom.

---

[4]
Computed, not measured: a relaxed structure of HoHSe at the PBE-GGA level of DFT.

Geometry as CIF:
```
data_HoHSe
_cell_length_a 3.8167
_cell_length_b 3.8167
_cell_length_c 3.8911
_cell_angle_alpha 90.00
_cell_angle_beta 90.00
_cell_angle_gamma 120.00
_space_group_name_H-M_alt 'P -6 m 2'
_space_group_IT_number 187
_space_group_name_Hall 'P -6 2'
loop_
_atom_site_label
_atom_site_fract_x
_atom_site_fract_y
_atom_site_fract_z
Ho1 0.0000 0.0000 0.0000
H1 0.6667 0.3333 0.0000
Se1 0.3333 0.6667 0.5000
```

Properties
The calculation puts the uncorrected energy at -5.253 eV per atom.

---

[5]
Computed, not measured: a relaxed structure of Ho2HSe at the PBE-GGA level of DFT.

Geometry as CIF:
```
data_Ho2HSe
_cell_length_a 3.7276
_cell_length_b 3.7276
_cell_length_c 21.9714
_cell_angle_alpha 90.00
_cell_angle_beta 90.00
_cell_angle_gamma 120.00
_space_group_name_H-M_alt 'R 3 m'
_space_group_IT_number 160
_space_group_name_Hall 'R 3 -2"'
loop_
_atom_site_label
_atom_site_fract_x
_atom_site_fract_y
_atom_site_fract_z
Ho1 0.0000 0.0000 0.0000
Ho2 0.0000 0.0000 0.1624
H1 0.0000 0.0000 0.8115
Se1 0.0000 0.0000 0.5808
```

Properties
The calculation puts the uncorrected energy at -4.850 eV per atom.

---

[6]
Computed, not measured: a relaxed structure of Ho3H2Se2 at the PBE-GGA level of DFT.

Geometry as CIF:
```
data_Ho3H2Se2
_cell_length_a 16.068
_cell_length_b 4.281
_cell_length_c 3.864
_cell_angle_alpha 90.00
_cell_angle_beta 103.88
_cell_angle_gamma 90.00
_space_group_name_H-M_alt 'C 1 2/m 1'
_space_group_IT_number 12
loop_
_space_group_symop_operation_xyz
'x,y,z'
'-x,-y,-z'
'-x,y,-z'
'x,-y,z'
'x+1/2,y+1/2,z'
'-x+1/2,-y+1/2,-z'
'-x+1/2,y+1/2,-z'
'x+1/2,-y+1/2,z'
loop_
_atom_site_label
_atom_site_fract_x
_atom_site_fract_y
_atom_site_fract_z
Ho1 0.000 0.000 0.000
Ho2 0.132 0.500 0.631
H1 0.000 0.258 0.500
Se1 0.177 0.000 0.176
```

Properties
The calculation puts the uncorrected energy at -5.102 eV per atom.

---

[7]
Computed, not measured: a relaxed structure of Ho8Si3HSe4 at the PBE-GGA level of DFT.

Geometry as CIF:
```
data_Ho8Si3HSe4
_cell_length_a 8.0597
_cell_length_b 8.0597
_cell_length_c 20.0117
_cell_angle_alpha 90.00
_cell_angle_beta 90.00
_cell_angle_gamma 120.00
_space_group_name_H-M_alt 'R -3 m'
_space_group_IT_number 166
_space_group_name_Hall '-R 3 2"'
loop_
_atom_site_label
_atom_site_fract_x
_atom_site_fract_y
_atom_site_fract_z
Ho1 0.0000 0.0000 0.2456
Ho2 0.0057 0.5029 0.7541
Si1 0.0000 0.5000 0.5000
H1 0.0000 0.0000 0.5000
Se1 0.0000 0.0000 0.0000
Se2 0.0000 0.5000 0.0000
```

Properties
The calculation puts the uncorrected energy at -5.597 eV per atom.

---

[8]
Computed, not measured: a relaxed structure of HoSn2HSe4 at the PBE-GGA level of DFT.

Geometry as CIF:
```
data_HoSn2HSe4
_cell_length_a 7.204
_cell_length_b 4.049
_cell_length_c 7.304
_cell_angle_alpha 90.00
_cell_angle_beta 108.32
_cell_angle_gamma 90.00
_space_group_name_H-M_alt 'P 1 2/m 1'
_space_group_IT_number 10
loop_
_space_group_symop_operation_xyz
'x,y,z'
'-x,-y,-z'
'-x,y,-z'
'x,-y,z'
loop_
_atom_site_label
_atom_site_fract_x
_atom_site_fract_y
_atom_site_fract_z
Ho1 0.000 0.000 0.000
Sn1 0.500 0.000 0.500
Sn2 0.500 0.500 0.000
H1 0.000 0.500 0.500
Se1 0.239 0.500 0.235
Se2 0.252 0.000 0.766
```

Properties
The calculation puts the uncorrected energy at -4.219 eV per atom.

---

[9]
Computed, not measured: a relaxed structure of Ho3TlHSe at the PBE-GGA level of DFT.

Geometry as CIF:
```
data_Ho3TlHSe
_cell_length_a 8.336
_cell_length_b 4.061
_cell_length_c 8.583
_cell_angle_alpha 90.00
_cell_angle_beta 100.27
_cell_angle_gamma 90.00
_space_group_name_H-M_alt 'P 1 21/m 1'
_space_group_IT_number 11
loop_
_space_group_symop_operation_xyz
'x,y,z'
'-x,-y,-z'
'-x,y+1/2,-z'
'x,-y+1/2,z'
loop_
_atom_site_label
_atom_site_fract_x
_atom_site_fract_y
_atom_site_fract_z
Ho1 0.079 0.250 0.313
Ho2 0.328 0.250 0.969
Ho3 0.387 0.750 0.629
Tl1 0.336 0.750 0.251
H1 0.413 0.750 0.900
Se1 0.151 0.250 0.651
```

Properties
The calculation puts the uncorrected energy at -4.646 eV per atom.

---

[10]
Computed, not measured: a relaxed structure of HoSiH at the PBE-GGA level of DFT.

Geometry as CIF:
```
data_HoSiH
_cell_length_a 3.150
_cell_length_b 3.150
_cell_length_c 18.880
_cell_angle_alpha 90.00
_cell_angle_beta 90.00
_cell_angle_gamma 90.00
_space_group_name_H-M_alt 'I 4/m m m'
_space_group_IT_number 139
_space_group_name_Hall '-I 4 2'
loop_
_atom_site_label
_atom_site_fract_x
_atom_site_fract_y
_atom_site_fract_z
Ho1 0.000 0.000 0.164
Si1 0.000 0.000 0.438
H1 0.000 0.000 0.287
```

Properties
The calculation puts the uncorrected energy at -4.682 eV per atom.

---

[11]
Computed, not measured: a relaxed structure of Ho2SiH at the PBE-GGA level of DFT.

Geometry as CIF:
```
data_Ho2SiH
_cell_length_a 3.957
_cell_length_b 6.183
_cell_length_c 12.704
_cell_angle_alpha 90.00
_cell_angle_beta 90.00
_cell_angle_gamma 90.00
_space_group_name_H-M_alt 'I m m m'
_space_group_IT_number 71
_space_group_name_Hall '-I 2 2'
loop_
_atom_site_label
_atom_site_fract_x
_atom_site_fract_y
_atom_site_fract_z
Ho1 0.000 0.000 0.201
Ho2 0.000 0.237 0.500
Si1 0.000 0.500 0.136
H1 0.000 0.500 0.388
```

Properties
The calculation puts the uncorrected energy at -5.093 eV per atom.

---

[12]
Computed, not measured: a relaxed structure of HoSiH at the PBE-GGA level of DFT.

Geometry as CIF:
```
data_HoSiH
_cell_length_a 3.976
_cell_length_b 3.850
_cell_length_c 6.045
_cell_angle_alpha 90.00
_cell_angle_beta 109.16
_cell_angle_gamma 90.00
_space_group_name_H-M_alt 'P 1 21/m 1'
_space_group_IT_number 11
loop_
_space_group_symop_operation_xyz
'x,y,z'
'-x,-y,-z'
'-x,y+1/2,-z'
'x,-y+1/2,z'
loop_
_atom_site_label
_atom_site_fract_x
_atom_site_fract_y
_atom_site_fract_z
Ho1 0.147 0.250 0.295
Si1 0.440 0.250 0.880
H1 0.254 0.750 0.508
```

Properties
The calculation puts the uncorrected energy at -5.167 eV per atom.

---

[13]
Computed, not measured: a relaxed structure of HoSiH at the PBE-GGA level of DFT.

Geometry as CIF:
```
data_HoSiH
_cell_length_a 3.5352
_cell_length_b 3.5352
_cell_length_c 4.5847
_cell_angle_alpha 90.00
_cell_angle_beta 90.00
_cell_angle_gamma 120.00
_space_group_name_H-M_alt 'P -6 m 2'
_space_group_IT_number 187
_space_group_name_Hall 'P -6 2'
loop_
_atom_site_label
_atom_site_fract_x
_atom_site_fract_y
_atom_site_fract_z
Ho1 0.0000 0.0000 0.0000
Si1 0.6667 0.3333 0.5000
H1 0.3333 0.6667 0.0000
```

Properties
The calculation puts the uncorrected energy at -4.798 eV per atom.

---

[14]
Computed, not measured: a relaxed structure of Ho3SiH at the PBE-GGA level of DFT.

Geometry as CIF:
```
data_Ho3SiH
_cell_length_a 7.028
_cell_length_b 3.907
_cell_length_c 7.903
_cell_angle_alpha 90.00
_cell_angle_beta 95.87
_cell_angle_gamma 90.00
_space_group_name_H-M_alt 'P 1 21/m 1'
_space_group_IT_number 11
loop_
_space_group_symop_operation_xyz
'x,y,z'
'-x,-y,-z'
'-x,y+1/2,-z'
'x,-y+1/2,z'
loop_
_atom_site_label
_atom_site_fract_x
_atom_site_fract_y
_atom_site_fract_z
Ho1 0.085 0.250 0.339
Ho2 0.263 0.250 0.954
Ho3 0.380 0.750 0.625
Si1 0.361 0.750 0.226
H1 0.151 0.250 0.643
```

Properties
The calculation puts the uncorrected energy at -4.898 eV per atom.

---

[15]
Computed, not measured: a relaxed structure of Ho2SiH at the PBE-GGA level of DFT.

Geometry as CIF:
```
data_Ho2SiH
_cell_length_a 4.3121
_cell_length_b 4.3121
_cell_length_c 20.7313
_cell_angle_alpha 90.00
_cell_angle_beta 90.00
_cell_angle_gamma 120.00
_space_group_name_H-M_alt 'R -3 m'
_space_group_IT_number 166
_space_group_name_Hall '-R 3 2"'
loop_
_atom_site_label
_atom_site_fract_x
_atom_site_fract_y
_atom_site_fract_z
Ho1 0.0000 0.0000 0.1017
Si1 0.0000 0.0000 0.5000
H1 0.0000 0.0000 0.0000
```

Properties
The calculation puts the uncorrected energy at -4.767 eV per atom.

---

[16]
Computed, not measured: a relaxed structure of Ho2Si2Tc2H at the PBE-GGA level of DFT.

Geometry as CIF:
```
data_Ho2Si2Tc2H
_cell_length_a 4.076
_cell_length_b 4.076
_cell_length_c 14.024
_cell_angle_alpha 90.00
_cell_angle_beta 90.00
_cell_angle_gamma 90.00
_space_group_name_H-M_alt 'I 4/m m m'
_space_group_IT_number 139
_space_group_name_Hall '-I 4 2'
loop_
_atom_site_label
_atom_site_fract_x
_atom_site_fract_y
_atom_site_fract_z
Ho1 0.000 0.000 0.162
Si1 0.000 0.000 0.389
Tc1 0.000 0.500 0.000
H1 0.000 0.000 0.000
```

Properties
The calculation puts the uncorrected energy at -6.910 eV per atom.

---

[17]
Computed, not measured: a relaxed structure of SmHo2H at the PBE-GGA level of DFT.

Geometry as CIF:
```
data_SmHo2H
_cell_length_a 3.354
_cell_length_b 3.354
_cell_length_c 8.512
_cell_angle_alpha 90.00
_cell_angle_beta 90.00
_cell_angle_gamma 90.00
_space_group_name_H-M_alt 'P 4/m m m'
_space_group_IT_number 123
_space_group_name_Hall '-P 4 2'
loop_
_atom_site_label
_atom_site_fract_x
_atom_site_fract_y
_atom_site_fract_z
Sm1 0.000 0.000 0.000
Ho1 0.500 0.500 0.310
H1 0.000 0.000 0.500
```

Properties
The calculation puts the uncorrected energy at -4.174 eV per atom.

---

[18]
Computed, not measured: a relaxed structure of Sm3HoH8 at the PBE-GGA level of DFT.

Geometry as CIF:
```
data_Sm3HoH8
_cell_length_a 5.309
_cell_length_b 5.309
_cell_length_c 5.309
_cell_angle_alpha 90.00
_cell_angle_beta 90.00
_cell_angle_gamma 90.00
_space_group_name_H-M_alt 'P m -3 m'
_space_group_IT_number 221
_space_group_name_Hall '-P 4 2 3'
loop_
_atom_site_label
_atom_site_fract_x
_atom_site_fract_y
_atom_site_fract_z
Sm1 0.000 0.000 0.500
Ho1 0.500 0.500 0.500
H1 0.256 0.256 0.256
```

Properties
The calculation puts the uncorrected energy at -4.485 eV per atom.

---

[19]
Computed, not measured: a relaxed structure of Sm3Ho5H12 at the PBE-GGA level of DFT.

Geometry as CIF:
```
data_Sm3Ho5H12
_cell_length_a 13.152
_cell_length_b 13.152
_cell_length_c 13.152
_cell_angle_alpha 90.00
_cell_angle_beta 90.00
_cell_angle_gamma 90.00
_space_group_name_H-M_alt 'I a -3 d'
_space_group_IT_number 230
_space_group_name_Hall '-I 4bd 2c 3'
loop_
_atom_site_label
_atom_site_fract_x
_atom_site_fract_y
_atom_site_fract_z
Sm1 0.000 0.250 0.125
Ho1 0.000 0.000 0.000
Ho2 0.000 0.250 0.375
H1 0.006 0.067 0.654
```

Properties
The calculation puts the uncorrected energy at -4.328 eV per atom.

---

[20]
Computed, not measured: a relaxed structure of SmHo2H at the PBE-GGA level of DFT.

Geometry as CIF:
```
data_SmHo2H
_cell_length_a 3.5951
_cell_length_b 3.5951
_cell_length_c 25.5342
_cell_angle_alpha 90.00
_cell_angle_beta 90.00
_cell_angle_gamma 120.00
_space_group_name_H-M_alt 'R -3 m'
_space_group_IT_number 166
_space_group_name_Hall '-R 3 2"'
loop_
_atom_site_label
_atom_site_fract_x
_atom_site_fract_y
_atom_site_fract_z
Sm1 0.0000 0.0000 0.0000
Ho1 0.0000 0.0000 0.2201
H1 0.0000 0.0000 0.5000
```

Properties
The calculation puts the uncorrected energy at -4.499 eV per atom.

---

[21]
Computed, not measured: a relaxed structure of Sm2HoH at the PBE-GGA level of DFT.

Geometry as CIF:
```
data_Sm2HoH
_cell_length_a 3.6489
_cell_length_b 3.6489
_cell_length_c 25.8895
_cell_angle_alpha 90.00
_cell_angle_beta 90.00
_cell_angle_gamma 120.00
_space_group_name_H-M_alt 'R -3 m'
_space_group_IT_number 166
_space_group_name_Hall '-R 3 2"'
loop_
_atom_site_label
_atom_site_fract_x
_atom_site_fract_y
_atom_site_fract_z
Sm1 0.0000 0.0000 0.2218
Ho1 0.0000 0.0000 0.0000
H1 0.0000 0.0000 0.5000
```

Properties
The calculation puts the uncorrected energy at -4.504 eV per atom.